# 1
DFT (GGA-PBEsol) results for a relaxed Mn2CdAgCl crystal.

Structure (POSCAR):
```
Mn2CdAgCl
1.0
4.255 0.000 0.000
0.000 4.255 0.000
0.000 0.000 4.989
Mn Cd Cl Ag
2 1 1 1
direct
0.000 0.500 0.000
0.500 0.000 0.000
0.500 0.500 0.500
0.000 0.000 0.000
0.000 0.000 0.500
```

Results
Space group = P4/mmm (123)
Formation energy (no corrections) = 720 meV/atom

=====

# 2
DFT (GGA-PBEsol) results for a relaxed Sr2PH2 crystal.

Structure (POSCAR):
```
Sr2PH2
1.0
3.758 0.000 0.000
0.000 3.758 0.000
-1.879 -1.879 6.725
H Sr P
2 2 1
direct
0.750 0.250 0.500
0.250 0.750 0.500
0.360 0.360 0.720
0.640 0.640 0.280
0.000 0.000 0.000
```

Results
Space group = I4/mmm (139)

=====

# 3
DFT (GGA-PBEsol) results for a relaxed Zn4InAg crystal.

Structure (POSCAR):
```
Zn4InAg
1.0
-2.738 -3.541 -2.539
1.758 -4.821 -0.387
-2.318 -3.800 2.583
Zn Ag In
4 1 1
direct
0.376 0.873 0.376
0.376 0.376 0.873
0.873 0.376 0.376
0.376 0.376 0.376
0.750 0.750 0.750
0.000 0.000 0.000
```

Results
Formation energy = 0.04 eV per atom
Space group = F-43m (216)

=====

# 4
DFT (GGA-PBEsol) results for a relaxed YCr2Cl crystal.

Structure (POSCAR):
```
YCr2Cl
1.0
3.196 0.085 0.000
-1.282 2.929 0.000
0.000 0.000 8.645
Cr Y Cl
2 1 1
direct
0.000 0.000 0.775
0.000 0.000 0.225
0.500 0.500 0.500
0.500 0.500 0.000
```

Results
Space group = Cmmm (65)
Formation energy (no corrections) = 496 meV/atom

=====

# 5
DFT (GGA-PBEsol) results for a relaxed Tl2InP crystal.

Structure (POSCAR):
```
Tl2InP
1.0
5.163 0.000 0.000
2.582 4.471 0.000
2.582 1.490 4.216
Tl In P
2 1 1
direct
0.000 0.000 0.000
0.750 0.750 0.750
0.500 0.500 0.500
0.250 0.250 0.250
```

Results
Formation energy = 0.25 eV per atom
Space group = F-43m (216)

=====

# 6
DFT (GGA-PBEsol) results for a relaxed Be2FeAu crystal.

Structure (POSCAR):
```
Be2FeAu
1.0
2.773 0.000 0.000
0.000 2.773 0.000
0.000 0.000 5.445
Au Be Fe
1 2 1
direct
0.500 0.500 0.500
0.000 0.000 0.202
0.000 0.000 0.798
0.500 0.500 0.000
```

Results
Formation energy = -0.15 eV per atom
Space group = P4/mmm (123)

=====

# 7
DFT (GGA-PBEsol) results for a relaxed SmGePd crystal.

Structure (POSCAR):
```
SmGePd
1.0
-4.153 -0.117 -1.320
-2.087 -5.201 -0.170
-3.681 0.015 4.380
Ge Sm Pd
2 2 2
direct
0.159 0.780 0.901
0.841 0.220 0.099
0.453 0.786 0.308
0.547 0.214 0.692
0.823 0.627 0.728
0.177 0.373 0.272
```

Results
Formation energy = -0.92 eV per atom
Space group = C2/m (12)

=====

# 8
DFT (GGA-PBEsol) results for a relaxed ZnCd2Rh crystal.

Structure (POSCAR):
```
ZnCd2Rh
1.0
-3.676 1.381 -0.067
-0.392 -1.223 -3.711
0.618 -3.782 3.259
Cd Zn Rh
2 1 1
direct
0.000 0.000 0.000
0.750 0.250 0.500
0.250 0.750 0.500
0.500 0.500 0.000
```

Results
Formation energy = -0.11 eV per atom
Space group = I-4m2 (119)

=====

no.,total DFT energy (no corrections) (eV/atom)
1,-4.488
2,-3.838
3,-2.065
4,-6.832
5,-3.262
6,-5.376
7,-6.246
8,-3.142